{"formula": "BaIn2Au", "functional": "GGA-PBE", "state": "optimized geometry", "lattice": [[2.388, 1.379, 6.283], [-2.388, 1.379, 6.283], [0.000, -2.758, 6.283]], "species": ["Ba", "In", "In", "Au"], "frac_coords": [[0.000, 0.000, 0.000], [0.212, 0.212, 0.212], [0.788, 0.788, 0.788], [0.500, 0.500, 0.500]], "e_tot_ev_per_atom": -3.12, "density_g_cm3": 7.5, "n_ef_per_ev_cell": 2.10}